Record 1
First-principles (PBE) data for a geometry-optimized SmY5Ho2Er structure, as listed in Alexandria via LeMat-Bulk.

The structure belongs to space group Cmc2_1 (No. 36); the cell edges are 5.613, 20.105 and 10.507 Å and the angles 90.00°, 90.00° and 90.00°. Symmetry generates all atoms from Sm at (0.000, 0.197, 0.000), Y at (0.000, 0.016, 0.009), Y at (0.000, 0.278, 0.300), Y at (0.000, 0.301, 0.691), Y at (0.000, 0.388, 0.011), Y at (0.000, 0.479, 0.724), Ho at (0.000, 0.110, 0.723), Ho at (0.000, 0.113, 0.304) and Er at (0.000, 0.412, 0.439).

The value obtained for the total magnetization is 0.0 μB/cell. The calculation puts the total energy at -5.48 eV/atom. For the formation enthalpy at 0 K, the calculation gives 14.96 kJ/mol of atoms.

---

Record 2
First-principles (PBE) data for a geometry-optimized Sm2Y3Ho6Er structure, as listed in Alexandria via LeMat-Bulk.

The structure belongs to space group C2/m (No. 12); the cell edges are 6.153, 10.647 and 11.774 Å and the angles 90.00°, 99.97° and 90.00°. Symmetry generates all atoms from Sm at (0.000, 0.167, 0.000), Y at (0.000, 0.000, 0.500), Y at (0.000, 0.334, 0.500), Ho at (0.249, 0.500, 0.750), Ho at (0.250, 0.166, 0.750) and Er at (0.000, 0.500, 0.000).

The value obtained for the total magnetization is 0.0 μB/cell. The calculation puts the total energy at -5.05 eV/atom. For the formation enthalpy at 0 K, the calculation gives 1.93 kJ/mol of atoms.